Density functional theory data (PBE) for K3RbH4 after structural relaxation.

The structure belongs to space group I4/mmm (No. 139); the cell edges are 5.734, 5.734 and 11.434 Å and the angles 90.00°, 90.00° and 90.00°. The asymmetric unit holds K at (0.000, 0.000, 0.000), K at (0.000, 0.500, 0.250), Rb at (0.000, 0.000, 0.500), H at (0.000, 0.000, 0.242) and H at (0.000, 0.500, 0.000).

The calculation puts the final energy at -38.51 eV/cell. Its magnetic moment is 0.000 μB per formula unit.

***

Density functional theory data (PBE) for KRbH after structural relaxation.

The structure belongs to space group Cm (No. 8); the cell edges are 7.528, 4.294 and 15.287 Å and the angles 90.00°, 98.95° and 90.00°. The asymmetric unit holds K at (0.000, 0.000, 0.000), K at (0.194, 0.000, 0.554), Rb at (0.097, 0.500, 0.777), Rb at (0.429, 0.000, 0.277), H at (0.300, 0.000, 0.893) and H at (0.395, 0.500, 0.663).

The calculation puts the final energy at -22.40 eV/cell. The calculation puts the energy above the lowest structure with this stoichiometry at 10.5 meV/atom. Its magnetic moment is 0.000 μB per formula unit.

***

Density functional theory data (PBE) for KRbH after structural relaxation.

The structure belongs to space group P4/mmm (No. 123); the cell edges are 5.160, 5.160 and 10.178 Å and the angles 90.00°, 90.00° and 90.00°. The asymmetric unit holds K at (0.000, 0.000, 0.000), K at (0.000, 0.000, 0.500), Rb at (0.500, 0.500, 0.184) and H at (0.000, 0.500, 0.000).

The calculation puts the final energy at -11.18 eV/cell. The calculation puts the energy above the lowest structure with this stoichiometry at 13.7 meV/atom. Its magnetic moment is 0.000 μB per formula unit.

***

Density functional theory data (PBE) for KRbH after structural relaxation.

The structure belongs to space group P1 (No. 1); the cell edges are 4.293, 4.294 and 15.188 Å and the angles 89.93°, 89.64° and 60.04°. The asymmetric unit holds K at (0.000, 0.000, 0.000), K at (0.016, 0.995, 0.548), Rb at (0.341, 0.331, 0.774), Rb at (0.670, 0.661, 0.274), H at (0.670, 0.666, 0.892) and H at (0.679, 0.662, 0.656).

The calculation puts the final energy at -11.14 eV/cell. The calculation puts the energy above the lowest structure with this stoichiometry at 20.7 meV/atom. Its magnetic moment is 0.000 μB per formula unit.